VASP calculation (GGA-PBE) on a geometry-optimized Pu2Br8F structure.

Structure (CIF):
```
data_Pu2Br8F
_chemical_formula_sum 'Pu4 Br16 F2'
_space_group_name_H-M_alt 'C 1 2/m 1'
_space_group_IT_number 12
_space_group_name_Hall '-C 2y'
_cell_length_a 17.094
_cell_length_b 11.031
_cell_length_c 5.659
_cell_angle_alpha 90.00
_cell_angle_beta 109.17
_cell_angle_gamma 90.00
loop_
_atom_site_label
_atom_site_fract_x
_atom_site_fract_y
_atom_site_fract_z
Pu1 0.139 0.000 0.138
Br1 0.127 0.000 0.626
Br2 0.138 0.240 0.138
Br3 0.196 0.500 0.699
F1 0.000 0.000 0.000
```

Calculated values
The value obtained for the uncorrected energy is -5.34 eV/atom. As for the raw formation energy: -1.349 eV/atom.

VASP calculation (GGA-PBE) on a geometry-optimized Pu2Br3F structure.

Structure (CIF):
```
data_Pu2Br3F
_chemical_formula_sum 'Pu8 Br12 F4'
_space_group_name_H-M_alt 'C 1 2/m 1'
_space_group_IT_number 12
_space_group_name_Hall '-C 2y'
_cell_length_a 18.629
_cell_length_b 4.034
_cell_length_c 12.554
_cell_angle_alpha 90.00
_cell_angle_beta 124.60
_cell_angle_gamma 90.00
loop_
_atom_site_label
_atom_site_fract_x
_atom_site_fract_y
_atom_site_fract_z
Pu1 0.170 0.000 0.005
Pu2 0.174 0.500 0.306
Br1 0.027 0.500 0.863
Br2 0.144 0.000 0.457
Br3 0.201 0.000 0.797
F1 0.151 0.000 0.186
```

Calculated values
The value obtained for the uncorrected energy is -7.76 eV/atom. As for the raw formation energy: -1.831 eV/atom. The relative energy among the computed polymorphs is 0.0213 eV per atom.

VASP calculation (GGA-PBE) on a geometry-optimized PuBrF structure.

Structure (CIF):
```
data_PuBrF
_chemical_formula_sum 'Pu1 Br1 F1'
_space_group_name_H-M_alt 'P -6 m 2'
_space_group_IT_number 187
_space_group_name_Hall 'P -6 2'
_cell_length_a 4.1682
_cell_length_b 4.1682
_cell_length_c 4.4757
_cell_angle_alpha 90.00
_cell_angle_beta 90.00
_cell_angle_gamma 120.00
loop_
_atom_site_label
_atom_site_fract_x
_atom_site_fract_y
_atom_site_fract_z
Pu1 0.0000 0.0000 0.0000
Br1 0.6667 0.3333 0.5000
F1 0.3333 0.6667 0.0000
```

Calculated values
The value obtained for the uncorrected energy is -8.24 eV/atom. As for the raw formation energy: -2.280 eV/atom.

VASP calculation (GGA-PBE) on a geometry-optimized PuBrF6 structure.

Structure (CIF):
```
data_PuBrF6
_chemical_formula_sum 'Pu2 Br2 F12'
_space_group_name_H-M_alt 'C 1 2/m 1'
_space_group_IT_number 12
_space_group_name_Hall '-C 2y'
_cell_length_a 5.902
_cell_length_b 9.074
_cell_length_c 6.412
_cell_angle_alpha 90.00
_cell_angle_beta 101.73
_cell_angle_gamma 90.00
loop_
_atom_site_label
_atom_site_fract_x
_atom_site_fract_y
_atom_site_fract_z
Pu1 0.000 0.000 0.000
Br1 0.000 0.500 0.500
F1 0.085 0.157 0.807
F2 0.132 0.500 0.814
```

Calculated values
The value obtained for the uncorrected energy is -5.85 eV/atom. As for the raw formation energy: -2.449 eV/atom.

VASP calculation (GGA-PBE) on a geometry-optimized Pu4Br3F4 structure.

Structure (CIF):
```
data_Pu4Br3F4
_chemical_formula_sum 'Pu8 Br6 F8'
_space_group_name_H-M_alt 'I m m m'
_space_group_IT_number 71
_space_group_name_Hall '-I 2 2'
_cell_length_a 4.068
_cell_length_b 7.650
_cell_length_c 14.135
_cell_angle_alpha 90.00
_cell_angle_beta 90.00
_cell_angle_gamma 90.00
loop_
_atom_site_label
_atom_site_fract_x
_atom_site_fract_y
_atom_site_fract_z
Pu1 0.000 0.000 0.219
Pu2 0.000 0.224 0.500
Br1 0.000 0.000 0.000
Br2 0.000 0.500 0.116
F1 0.000 0.308 0.321
```

Calculated values
The value obtained for the uncorrected energy is -8.49 eV/atom. As for the raw formation energy: -2.143 eV/atom.

VASP calculation (GGA-PBE) on a geometry-optimized Pu2Br3F2 structure.

Structure (CIF):
```
data_Pu2Br3F2
_chemical_formula_sum 'Pu4 Br6 F4'
_space_group_name_H-M_alt 'C 1 2/m 1'
_space_group_IT_number 12
_space_group_name_Hall '-C 2y'
_cell_length_a 13.472
_cell_length_b 4.028
_cell_length_c 6.930
_cell_angle_alpha 90.00
_cell_angle_beta 100.08
_cell_angle_gamma 90.00
loop_
_atom_site_label
_atom_site_fract_x
_atom_site_fract_y
_atom_site_fract_z
Pu1 0.178 0.000 0.200
Br1 0.000 0.500 0.000
Br2 0.133 0.500 0.505
F1 0.242 0.000 0.882
```

Calculated values
The value obtained for the uncorrected energy is -7.65 eV/atom. As for the raw formation energy: -2.305 eV/atom.

VASP calculation (GGA-PBE) on a geometry-optimized Pu2Br4F3 structure.

Structure (CIF):
```
data_Pu2Br4F3
_chemical_formula_sum 'Pu4 Br8 F6'
_space_group_name_H-M_alt 'C 1 2/m 1'
_space_group_IT_number 12
_space_group_name_Hall '-C 2y'
_cell_length_a 15.803
_cell_length_b 3.863
_cell_length_c 7.761
_cell_angle_alpha 90.00
_cell_angle_beta 107.56
_cell_angle_gamma 90.00
loop_
_atom_site_label
_atom_site_fract_x
_atom_site_fract_y
_atom_site_fract_z
Pu1 0.103 0.000 0.446
Br1 0.070 0.000 0.808
Br2 0.234 0.500 0.690
F1 0.000 0.500 0.500
F2 0.109 0.500 0.297
```

Calculated values
The value obtained for the uncorrected energy is -6.76 eV/atom. As for the raw formation energy: -2.212 eV/atom.

VASP calculation (GGA-PBE) on a geometry-optimized Pu3Br3F5 structure.

Structure (CIF):
```
data_Pu3Br3F5
_chemical_formula_sum 'Pu3 Br3 F5'
_space_group_name_H-M_alt 'P -6 2 m'
_space_group_IT_number 189
_space_group_name_Hall 'P -6 -2'
_cell_length_a 7.4196
_cell_length_b 7.4196
_cell_length_c 5.7794
_cell_angle_alpha 90.00
_cell_angle_beta 90.00
_cell_angle_gamma 120.00
loop_
_atom_site_label
_atom_site_fract_x
_atom_site_fract_y
_atom_site_fract_z
Pu1 0.0000 0.3548 0.0000
Br1 0.0000 0.3365 0.5000
F1 0.0000 0.7239 0.0000
F2 0.3333 0.6667 0.0000
```

Calculated values
The value obtained for the uncorrected energy is -7.97 eV/atom. As for the raw formation energy: -2.757 eV/atom.

VASP calculation (GGA-PBE) on a geometry-optimized Pu2BrF6 structure.

Structure (CIF):
```
data_Pu2BrF6
_chemical_formula_sum 'Pu4 Br2 F12'
_space_group_name_H-M_alt 'I m m m'
_space_group_IT_number 71
_space_group_name_Hall '-I 2 2'
_cell_length_a 4.075
_cell_length_b 7.477
_cell_length_c 9.564
_cell_angle_alpha 90.00
_cell_angle_beta 90.00
_cell_angle_gamma 90.00
loop_
_atom_site_label
_atom_site_fract_x
_atom_site_fract_y
_atom_site_fract_z
Pu1 0.000 0.000 0.204
Br1 0.000 0.000 0.500
F1 0.000 0.161 0.000
F2 0.000 0.337 0.283
```

Calculated values
The value obtained for the uncorrected energy is -7.81 eV/atom. As for the raw formation energy: -3.191 eV/atom.

VASP calculation (GGA-PBE) on a geometry-optimized Pu3Br7F structure.

Structure (CIF):
```
data_Pu3Br7F
_chemical_formula_sum 'Pu6 Br14 F2'
_space_group_name_H-M_alt 'C 1 m 1'
_space_group_IT_number 8
_space_group_name_Hall 'C -2y'
_cell_length_a 14.059
_cell_length_b 8.363
_cell_length_c 9.892
_cell_angle_alpha 90.00
_cell_angle_beta 132.94
_cell_angle_gamma 90.00
loop_
_atom_site_label
_atom_site_fract_x
_atom_site_fract_y
_atom_site_fract_z
Pu1 0.000 0.000 0.000
Pu2 0.259 0.259 0.518
Br1 0.036 0.248 0.834
Br2 0.227 0.000 0.679
Br3 0.284 0.000 0.337
Br4 0.288 0.500 0.340
Br5 0.483 0.256 0.191
F1 0.286 0.500 0.684
```

Calculated values
The value obtained for the uncorrected energy is -6.89 eV/atom. As for the raw formation energy: -1.749 eV/atom.

VASP calculation (GGA-PBE) on a geometry-optimized PuBrF structure.

Structure (CIF):
```
data_PuBrF
_chemical_formula_sum 'Pu4 Br4 F4'
_space_group_name_H-M_alt 'C m c m'
_space_group_IT_number 63
_space_group_name_Hall '-C 2c 2'
_cell_length_a 3.930
_cell_length_b 19.388
_cell_length_c 3.950
_cell_angle_alpha 90.00
_cell_angle_beta 90.00
_cell_angle_gamma 90.00
loop_
_atom_site_label
_atom_site_fract_x
_atom_site_fract_y
_atom_site_fract_z
Pu1 0.000 0.168 0.250
Br1 0.000 0.403 0.250
F1 0.000 0.250 0.750
```

Calculated values
The value obtained for the uncorrected energy is -8.24 eV/atom. As for the raw formation energy: -2.280 eV/atom.

VASP calculation (GGA-PBE) on a geometry-optimized PuBr2F4 structure.

Structure (CIF):
```
data_PuBr2F4
_chemical_formula_sum 'Pu1 Br2 F4'
_space_group_name_H-M_alt 'P -1'
_space_group_IT_number 2
_space_group_name_Hall '-P 1'
_cell_length_a 3.843
_cell_length_b 3.915
_cell_length_c 10.386
_cell_angle_alpha 88.89
_cell_angle_beta 85.62
_cell_angle_gamma 89.98
loop_
_atom_site_label
_atom_site_fract_x
_atom_site_fract_y
_atom_site_fract_z
Pu1 0.000 0.000 0.000
Br1 0.006 0.495 0.389
F1 0.012 0.509 0.881
F2 0.481 0.989 0.120
```

Calculated values
The value obtained for the uncorrected energy is -5.97 eV/atom. As for the raw formation energy: -2.375 eV/atom.